A plane-wave DFT calculation with PBE+U was carried out for a relaxed FeTcNO2 crystal.

Cell lengths 3.7206, 3.7206, 4.0508 Å; angles 90.00, 90.00, 90.00 degrees
Last column: nearest neighbours and their distance in Å.
Sites, in units of the cell vectors:
N 0.0000 0.0000 0.5000  2 Fe 2.03
Tc 0.5000 0.5000 0.5000  4 N 2.63, 8 O 2.75
O 0.0000 0.5000 0.0000  2 Fe 1.86
O 0.5000 0.0000 0.0000  2 Fe 1.86
Fe 0.0000 0.0000 0.0000  4 O 1.86, 2 N 2.03

Calculated values
As for the space group: No. 123. The value obtained for the total energy is -32.4 eV/cell. The calculation puts the size of the total moment at 8.0 μB/f.u.